Record 1
Crystalline Th2U2Ni15 at its relaxed geometry. Source: Alexandria, functional PBE.

a b c (Å): 6.504 6.504 6.504
angles (deg): 81.30 81.30 81.30
Each line ends with the local moment (μB).
Fractional positions:
Ni 0.315 0.685 0.000  0.06
Ni 0.000 0.500 0.000  -0.02
Ni 0.342 0.840 0.342  0.00
Ni 0.658 0.658 0.160  0.00
Ni 0.685 0.000 0.315  0.06
Ni 0.840 0.342 0.342  0.00
Ni 0.160 0.658 0.658  0.00
Ni 0.000 0.315 0.685  0.06
Ni 0.000 0.685 0.315  0.06
Ni 0.685 0.315 0.000  0.06
Ni 0.000 0.000 0.500  -0.02
Ni 0.658 0.160 0.658  0.00
Ni 0.342 0.342 0.840  0.00
Ni 0.500 0.000 0.000  -0.02
Ni 0.315 0.000 0.685  0.06
U 0.097 0.097 0.097  0.98
U 0.903 0.903 0.903  0.98
Th 0.356 0.356 0.356  0.01
Th 0.644 0.644 0.644  0.01

Its total energy is -0.502 Ry per atom. The value obtained for the size of the total moment is 2.28 μB per formula unit. As for the space-group type: R-3m, No. 166.

=====

Record 2
Crystalline Sc2HgCl at its relaxed geometry. Source: Alexandria, functional PBE.

a b c (Å): 9.574 9.574 9.574
angles (deg): 21.04 21.04 21.04
Fractional positions:
Sc 0.913 0.913 0.913
Sc 0.087 0.087 0.087
Cl 0.000 0.000 0.000
Hg 0.500 0.500 0.500

The value obtained for the size of the total moment is 0.00 μB per formula unit. As for the excess energy over the best structure of this formula in the dataset: 0.699 eV per formula unit. As for the space-group type: R-3m, No. 166.

=====

Record 3
Crystalline Li3La2MgSn4 at its relaxed geometry. Source: Alexandria, functional PBE.

a b c (Å): 4.505 4.505 11.949
angles (deg): 90.00 90.00 90.00
Fractional positions:
Li 0.000 0.500 0.133
Li 0.500 0.000 0.867
Li 0.000 0.000 0.500
Sn 0.000 0.000 0.000
Sn 0.500 0.000 0.650
Sn 0.000 0.500 0.350
Sn 0.500 0.500 0.000
Mg 0.500 0.500 0.500
La 0.500 0.000 0.240
La 0.000 0.500 0.760

Its total energy is -0.287 Ry per atom. The value obtained for the size of the total moment is 0.00 μB per formula unit. As for the space-group type: P-4m2, No. 115.

=====

Record 4
Crystalline LiZrP2O at its relaxed geometry. Source: Alexandria, functional PBE.

a b c (Å): 5.226 4.053 5.226
angles (deg): 90.00 90.00 90.00
Each line ends with the local moment (μB).
Fractional positions:
P 0.000 0.000 0.500  0.28
P 0.500 0.000 0.000  0.31
Zr 0.000 0.000 0.000  0.00
Li 0.500 0.500 0.500  0.01
O 0.000 0.500 0.000  0.22

The value obtained for the size of the total moment is 1.65 μB per formula unit. As for the excess energy over the best structure of this formula in the dataset: 0.000 eV per formula unit. As for the space-group type: P4/mmm, No. 123.

=====

Record 5
Crystalline FeRe7 at its relaxed geometry. Source: Alexandria, functional PBE.

a b c (Å): 5.491 5.491 5.491
angles (deg): 60.00 60.00 60.00
Each line ends with the local moment (μB).
Fractional positions:
Re 0.500 0.000 0.000  -0.07
Re 0.500 0.500 0.000  -0.07
Re 0.000 0.500 0.000  -0.07
Re 0.500 0.000 0.500  -0.07
Re 0.000 0.500 0.500  -0.07
Re 0.000 0.000 0.500  -0.07
Re 0.500 0.500 0.500  0.05
Fe 0.000 0.000 0.000  1.42

Its total energy is -0.873 Ry per atom. The value obtained for the size of the total moment is 1.04 μB per formula unit. As for the space-group type: Fm-3m, No. 225.

=====

Record 6
Crystalline InGaNi3 at its relaxed geometry. Source: Alexandria, functional PBE.

a b c (Å): 5.080 5.438 6.986
angles (deg): 67.15 61.00 57.56
Fractional positions:
Ni 0.977 0.573 0.429
Ni 0.313 0.235 0.723
Ni 0.492 0.092 0.367
Ni 0.193 0.387 0.077
Ni 0.977 0.065 0.429
Ni 0.313 0.775 0.723
In 0.783 0.718 0.826
In 0.533 0.589 0.332
Ga 0.048 0.955 0.087
Ga 0.754 0.262 0.767

The value obtained for the size of the total moment is 0.00 μB per formula unit. As for the excess energy over the best structure of this formula in the dataset: 0.000 eV per formula unit. As for the space-group type: P1, No. 1.

=====

Record 7
Crystalline Nd2UZnRh6 at its relaxed geometry. Source: Alexandria, functional PBE.

a b c (Å): 8.304 5.653 5.654
angles (deg): 60.01 70.17 90.00
Fractional positions:
U 0.500 0.500 0.000
Nd 0.119 0.706 0.588
Nd 0.881 0.294 0.412
Rh 0.741 0.749 0.500
Rh 0.260 0.760 0.990
Rh 0.740 0.750 0.009
Rh 0.260 0.250 0.991
Rh 0.259 0.251 0.500
Rh 0.740 0.240 0.010
Zn 0.000 0.000 0.000

Its total energy is -0.517 Ry per atom. The value obtained for the size of the total moment is 0.00 μB per formula unit. As for the space-group type: C2/m, No. 12.

=====

Record 8
Crystalline BeAlIn2 at its relaxed geometry. Source: Alexandria, functional PBE.

a b c (Å): 5.117 5.117 3.153
angles (deg): 90.00 90.00 107.62
Fractional positions:
In 0.000 0.000 0.000
In 0.500 0.500 0.000
Be 0.000 0.500 0.500
Al 0.500 0.000 0.500

The value obtained for the size of the total moment is 0.00 μB per formula unit. As for the excess energy over the best structure of this formula in the dataset: 0.633 eV per formula unit. As for the space-group type: Cmmm, No. 65.